First-principles (PBE-GGA) data for a geometry-optimized TcMo2P2 structure, as listed in the Alexandria database.

* formation enthalpy at 0 K: -0.251 eV per atom
* total magnetic moment: 0.000 μB/f.u.
* Fermi-level density of states: 5.2 states/eV/f.u.

Cell lengths 6.667, 6.667, 3.160 Å; angles 90.00, 90.00, 90.00 degrees
Atoms (fractional coordinates):
P1 0.344 0.844 0.000
P2 0.844 0.656 0.000
P3 0.656 0.156 0.000
P4 0.156 0.344 0.000
Mo1 0.144 0.644 0.500
Mo2 0.644 0.856 0.500
Mo3 0.856 0.356 0.500
Mo4 0.356 0.144 0.500
Tc1 0.000 0.000 0.000
Tc2 0.500 0.500 0.000